8
Lattice="-3.360 -1.480 5.868 -2.102 -6.476 1.246 3.104 -3.762 4.911" Properties=species:S:1:pos:R:3 comment="ThTl7 (GGA-PBE, relaxed)" e_tot_ev_per_cell=-24.2 mass_density_g_cm3=11.8 formation_enthalpy_0k_ev_per_atom=-0.032 dos_at_fermi_per_ev_cell=4.41 spacegroup="Fm-3m, No. 225" m_tot_mub_per_fu=0.0 pbc="T T T"
Tl -0.128 -2.621 5.390
Tl -1.680 -0.740 2.934
Tl -1.051 -3.238 0.623
Th 0.000 0.000 0.000
Tl -2.731 -3.978 3.557
Tl 1.552 -1.881 2.456
Tl -1.179 -5.859 6.012
Tl 0.501 -5.119 3.079